Entry 1:
HfGe2ClF at its PBEsol-relaxed geometry, computed with meta-GGA SCAN.

Cell lengths 4.157, 4.157, 5.000 Å; angles 90.00, 90.00, 90.00 degrees
Element x y z (fractional)
Cl  0.000  0.000  0.500
Ge  0.500  0.000  0.000
Ge  0.000  0.500  0.000
Hf  0.500  0.500  0.500
F  0.000  0.000  0.000

## Properties
- Fermi-level density of states (states/eV per atom) = 0.20
- energy relative to the elements, uncorrected (eV/atom) = -0.227
- uncorrected energy (eV/atom) = -22.700

=====

Entry 2:
Ho2Ge2Ru at its PBEsol-relaxed geometry, computed with meta-GGA SCAN.

Cell lengths 4.221, 5.697, 9.079 Å; angles 81.91, 76.56, 68.25 degrees
Element x y z (fractional)
Ru  0.728  0.915  0.628
Ru  0.272  0.085  0.372
Ho  0.184  0.743  0.889
Ho  0.816  0.257  0.111
Ho  0.998  0.330  0.674
Ho  0.002  0.670  0.326
Ge  0.356  0.722  0.566
Ge  0.513  0.851  0.124
Ge  0.644  0.278  0.434
Ge  0.487  0.149  0.876

## Properties
- ΔH_f (0 K) (eV per atom) = -0.91
- Fermi-level density of states (states/eV per atom) = 0.49
- uncorrected energy (eV/atom) = -35.109

=====

Entry 3:
NiNClF2 at its PBEsol-relaxed geometry, computed with meta-GGA SCAN.

Cell lengths 3.735, 3.735, 3.854 Å; angles 90.00, 90.00, 90.00 degrees
Element x y z (fractional)
Cl  0.500  0.500  0.500
F  0.500  0.000  0.000
F  0.000  0.500  0.000
N  0.000  0.000  0.500
Ni  0.000  0.000  0.000

## Properties
- Fermi-level density of states (states/eV per atom) = 0.52
- energy relative to the elements, uncorrected (eV/atom) = -0.156
- uncorrected energy (eV/atom) = -8.261

=====

Entry 4:
Cs2SbPt at its PBEsol-relaxed geometry, computed with meta-GGA SCAN.

Cell lengths 4.974, 9.393, 9.393 Å; angles 85.98, 74.65, 74.65 degrees
Element x y z (fractional)
Cs  0.875  0.337  0.163
Cs  0.788  0.837  0.337
Cs  0.375  0.663  0.837
Cs  0.962  0.163  0.663
Pt  0.750  0.500  0.500
Pt  0.000  0.000  0.000
Sb  0.250  0.500  0.500
Sb  0.500  0.000  0.000

## Properties
- Fermi-level density of states (states/eV per atom) = 0.43
- energy relative to the elements, uncorrected (eV/atom) = -0.383
- uncorrected energy (eV/atom) = -46.151

=====

Entry 5:
BaRe2Hg at its PBEsol-relaxed geometry, computed with meta-GGA SCAN.

Cell lengths 2.879, 5.217, 5.395 Å; angles 90.00, 90.00, 90.00 degrees
Element x y z (fractional)
Hg  0.000  0.500  0.500
Re  0.000  0.000  0.000
Re  0.500  0.500  0.000
Ba  0.500  0.000  0.500

## Properties
- ΔH_f (0 K) (eV per atom) = 1.49
- Fermi-level density of states (states/eV per atom) = 0.90
- uncorrected energy (eV/atom) = -60.984

=====

Entry 6:
Be2NiGeCl at its PBEsol-relaxed geometry, computed with meta-GGA SCAN.

Cell lengths 4.250, 4.250, 4.343 Å; angles 90.00, 90.00, 90.00 degrees
Element x y z (fractional)
Cl  0.500  0.500  0.500
Be  0.500  0.000  0.000
Be  0.000  0.500  0.000
Ni  0.000  0.000  0.000
Ge  0.000  0.000  0.500

## Properties
- Fermi-level density of states (states/eV per atom) = 0.61
- energy relative to the elements, uncorrected (eV/atom) = 0.274
- uncorrected energy (eV/atom) = -10.115

=====

no.,magnetic moment (μB/f.u.)
1,0.00
2,0.00
3,2.06
4,0.00
5,0.00
6,0.00